Below is a relaxed Pm4OsPtBr2 crystal, with properties calculated at the PBE-GGA level.

a b c (Å): 7.1782 4.1609 8.1052
angles (deg): 90.00 107.06 90.00
Element x y z (fractional)
Pm (0.2216, 0.0000, 0.1976)
Pm (0.2582, 0.5000, 0.8052)
Pm (0.7418, 0.5000, 0.1948)
Pm (0.7784, 0.0000, 0.8024)
Os (0.0000, 0.5000, 0.0000)
Pt (0.5000, 0.0000, 0.0000)
Br (0.0000, 0.0000, 0.5000)
Br (0.5000, 0.5000, 0.5000)

Results
Fermi-level density of states: 0.231 states/eV/atom
Size of the total moment: 0.00 μB per formula unit
Space group: No. 10
E_form (uncorrected): -1.000 eV per atom
Uncorrected energy: -5.9521 eV per atom